No. 1
First-principles (GGA-PBE) data for a relaxed structure of TiI2O2, as listed in the Alexandria database.

The structure in POSCAR format:
```
TiI2O2
1.0
5.550 0.000 0.000
0.000 5.550 0.000
0.000 0.000 3.706
O I Ti
2 2 1
direct
0.500 0.500 0.500 O
0.000 0.000 0.500 O
0.000 0.500 0.000 I
0.500 0.000 0.000 I
0.000 0.000 0.000 Ti
```

=====

No. 2
First-principles (GGA-PBE) data for a relaxed structure of TiI2O2, as listed in the Alexandria database.

The structure in POSCAR format:
```
TiI2O2
1.0
4.834 0.000 0.000
0.000 4.834 0.000
0.000 0.000 3.913
I O Ti
2 2 1
direct
0.000 0.500 0.000 I
0.500 0.000 0.000 I
0.000 0.000 0.500 O
0.000 0.000 0.000 O
0.500 0.500 0.500 Ti
```

=====

Number 1: E above lowest polymorph 455 meV per atom, DOS(E_F) 1.0381 states/eV/atom, raw formation energy -0.43 eV per atom. Number 2: E above lowest polymorph 1508 meV per atom, DOS(E_F) 1.1863 states/eV/atom, raw formation energy 0.62 eV per atom.